No. 1
KBa2Si2 | GGA-PBE | optimized geometry

Distance to the lowest polymorph of the same formula (eV/atom): 0.1964
Calculated volume (Å³/cell): 392
E (eV/atom): -3.139
M_tot (μB per cell): 0.00
Formation energy from raw total energies (eV per atom): 0.018

a b c (Å): 5.6898 5.6898 12.1240
angles (deg): 90.00 90.00 90.00
Space group I4/mmm (No. 139)
Asymmetric unit:
K: 0.0000 0.0000 0.0000
Ba: 0.0000 0.5000 0.2500
Si: 0.0000 0.0000 0.4042

=====

No. 2
CdTc2GeMo | GGA-PBE | optimized geometry

Calculated volume (Å³/cell): 97
E (eV/atom): -6.207
Formation enthalpy at 0 K (kcal/mol of atoms): 28.0
M_tot (μB per cell): 0.00

a b c (Å): 4.5767 4.5767 4.6346
angles (deg): 90.00 90.00 90.00
Space group P4/mmm (No. 123)
Asymmetric unit:
Cd: 0.0000 0.0000 0.0000
Tc: 0.0000 0.5000 0.5000
Ge: 0.5000 0.5000 0.5000
Mo: 0.5000 0.5000 0.0000

=====

No. 3
K3Cd2H7 | GGA-PBE | optimized geometry

Distance to the lowest polymorph of the same formula (eV/atom): 0.0201
Calculated volume (Å³/cell): 370
E (eV/atom): -2.438
M_tot (μB per cell): 0.00

a b c (Å): 4.1873 21.9957 4.0119
angles (deg): 90.00 90.00 90.00
Space group Cmmm (No. 65)
Asymmetric unit:
K: 0.0000 0.0000 0.0000
K: 0.0000 0.1805 0.0000
Cd: 0.0000 0.4052 0.5000
H: 0.0000 0.0930 0.5000
H: 0.0000 0.3129 0.5000
H: 0.0000 0.4066 0.0000
H: 0.0000 0.5000 0.5000

=====

No. 4
TbPuIn | GGA-PBE | optimized geometry

Distance to the lowest polymorph of the same formula (eV/atom): 0.4259
Calculated volume (Å³/cell): 177
E (eV/atom): -6.916
Formation enthalpy at 0 K (kcal/mol of atoms): 7.3
M_tot (μB per cell): 12.97

a b c (Å): 3.1622 3.1622 17.7318
angles (deg): 90.00 90.00 90.00
Space group I4mm (No. 107)
Asymmetric unit:
Tb: 0.0000 0.0000 0.0000
Pu: 0.0000 0.0000 0.8179
In: 0.0000 0.0000 0.6391

=====

No. 5
KTlZnF6 | GGA-PBE | optimized geometry

Calculated volume (Å³/cell): 318
E (eV/atom): -4.027
M_tot (μB per cell): 0.00
Formation energy from raw total energies (eV per atom): -2.253

a b c (Å): 5.7462 5.7462 11.1277
angles (deg): 90.00 90.00 120.00
Space group P-31c (No. 163)
Asymmetric unit:
K: 0.0000 0.0000 0.0000
Tl: 0.3333 0.6667 0.2500
Zn: 0.3333 0.6667 0.7500
F: 0.0171 0.3830 0.6469

=====

No. 6
Sr3Li3Pd2 | GGA-PBE | optimized geometry

Calculated volume (Å³/cell): 866
E (eV/atom): -2.986
Formation enthalpy at 0 K (kcal/mol of atoms): -7.8
M_tot (μB per cell): 0.00

a b c (Å): 4.3392 11.5806 17.2295
angles (deg): 90.00 90.00 90.00
Space group Cmcm (No. 63)
Asymmetric unit:
Sr: 0.0000 0.0566 0.1074
Sr: 0.0000 0.3406 0.2500
Li: 0.0000 0.3219 0.0329
Li: 0.0000 0.3563 0.7500
Pd: 0.0000 0.2350 0.6180

=====

No. 7
ScSb2Pb | GGA-PBE | optimized geometry

Calculated volume (Å³/cell): 217
E (eV/atom): -4.884
M_tot (μB per cell): 0.00
Formation energy from raw total energies (eV per atom): -0.313

a b c (Å): 4.4199 5.5182 8.8837
angles (deg): 90.00 90.00 90.00
Space group Cmmm (No. 65)
Asymmetric unit:
Sc: 0.0000 0.0000 0.0000
Sb: 0.0000 0.5000 0.2168
Pb: 0.0000 0.0000 0.5000

=====

No. 8
Pr3Sn3Pt2 | GGA-PBE | optimized geometry

Calculated volume (Å³/cell): 825
E (eV/atom): -5.741
Formation enthalpy at 0 K (kcal/mol of atoms): -21.6
M_tot (μB per cell): 0.00

a b c (Å): 8.5764 15.7798 6.0973
angles (deg): 90.00 90.00 90.00
Space group Pnma (No. 62)
Asymmetric unit:
Pr: 0.0339 0.1106 0.1199
Pr: 0.1735 0.2500 0.6341
Sn: 0.1797 0.7500 0.6225
Sn: 0.1911 0.0362 0.6087
Pt: 0.0913 0.6111 0.3732

=====

No. 9
TbPrHo | GGA-PBE | optimized geometry

Distance to the lowest polymorph of the same formula (eV/atom): 0.0216
Calculated volume (Å³/cell): 397
E (eV/atom): -4.624
Formation enthalpy at 0 K (kcal/mol of atoms): 0.9
M_tot (μB per cell): 0.00

a b c (Å): 3.5597 20.3942 5.4690
angles (deg): 90.00 90.00 90.00
Space group Cmcm (No. 63)
Asymmetric unit:
Tb: 0.0000 0.0403 0.2500
Pr: 0.0000 0.2056 0.2500
Ho: 0.0000 0.3857 0.2500

=====

No. 10
Th2Ga4Pd3Pt | GGA-PBE | optimized geometry

Calculated volume (Å³/cell): 193
E (eV/atom): -5.675
Formation enthalpy at 0 K (kcal/mol of atoms): -18.9
M_tot (μB per cell): 0.00

a b c (Å): 4.3249 4.3249 10.3424
angles (deg): 90.00 90.00 90.00
Space group P-4m2 (No. 115)
Asymmetric unit:
Th: 0.0000 0.5000 0.2493
Ga: 0.0000 0.0000 0.5000
Ga: 0.0000 0.5000 0.8692
Ga: 0.5000 0.5000 0.5000
Pd: 0.0000 0.0000 0.0000
Pd: 0.0000 0.5000 0.6314
Pt: 0.5000 0.5000 0.0000

=====

No. 11
RbNa2NpO5 | GGA-PBE | optimized geometry

Calculated volume (Å³/cell): 297
E (eV/atom): -6.824
M_tot (μB per cell): 0.00
Formation energy from raw total energies (eV per atom): -2.231

a b c (Å): 4.3864 6.1850 10.9409
angles (deg): 90.00 90.00 90.00
Space group Immm (No. 71)
Asymmetric unit:
Rb: 0.0000 0.0000 0.0000
Na: 0.0000 0.5000 0.2260
Np: 0.0000 0.0000 0.5000
O: 0.0000 0.2201 0.3716
O: 0.0000 0.5000 0.0000

=====

No. 12
ZnPdPb | GGA-PBE | optimized geometry

Distance to the lowest polymorph of the same formula (eV/atom): 0.0000
Calculated volume (Å³/cell): 243
E (eV/atom): -3.581
Formation enthalpy at 0 K (kcal/mol of atoms): -4.4
M_tot (μB per cell): 0.00

a b c (Å): 11.2092 3.2043 7.2542
angles (deg): 90.00 111.33 90.00
Space group C2/m (No. 12)
Asymmetric unit:
Zn: 0.0659 0.0000 0.2084
Pd: 0.1302 0.5000 0.9723
Pb: 0.1639 0.0000 0.6504